(1)
A geometry-optimized CaZnGa2Rh2 structure. Source: Alexandria via LeMat-Bulk, functional PBE.

abc: 4.631 4.631 5.473
angles: 90.00 90.00 90.00
Space group P4/mmm (No. 123)
One atom of each set of equivalent atoms:
Ca1 0.000 0.000 0.000 [1 per cell]
Zn1 0.000 0.000 0.500 [1 per cell]
Ga1 0.500 0.500 0.246 [2 per cell]
Rh1 0.000 0.500 0.500 [2 per cell]

Computed properties:
* theoretical density: 6.38 g cm⁻³
* DFT formation energy: -0.294 eV/atom
* total energy: -4.30 eV per atom
* crystal system: tetragonal

=====

(2)
A geometry-optimized CdPW structure. Source: Alexandria via LeMat-Bulk, functional PBE.

abc: 3.187 4.733 15.397
angles: 90.00 90.00 90.00
Space group Fmm2 (No. 42)
One atom of each set of equivalent atoms:
Cd1 0.000 0.000 0.000 [4 per cell]
P1 0.000 0.000 0.282 [4 per cell]
W1 0.000 0.000 0.665 [4 per cell]

Computed properties:
* theoretical density: 9.36 g cm⁻³
* DFT formation energy: 0.368 eV/atom
* total energy: -6.06 eV per atom
* excess energy over the best structure of this formula in the dataset: 228 meV per atom
* crystal system: orthorhombic

=====

(3)
A geometry-optimized HAu4 structure. Source: Alexandria via LeMat-Bulk, functional PBE.

abc: 4.229 4.229 4.229
angles: 90.00 90.00 90.00
Space group Pm-3m (No. 221)
One atom of each set of equivalent atoms:
H1 0.000 0.000 0.000 [1 per cell]
Au1 0.000 0.000 0.500 [3 per cell]
Au2 0.500 0.500 0.500 [1 per cell]

Computed properties:
* theoretical density: 17.32 g cm⁻³
* total energy: -3.08 eV per atom
* crystal system: cubic

=====

(4)
A geometry-optimized Ac4SiSBr2 structure. Source: Alexandria via LeMat-Bulk, functional PBE.

abc: 7.630 4.501 8.040
angles: 90.00 109.25 90.00
Space group P2/m (No. 10)
One atom of each set of equivalent atoms:
Ac1 0.233 0.000 0.209 [2 per cell]
Ac2 0.258 0.500 0.787 [2 per cell]
Si1 0.500 0.000 0.000 [1 per cell]
S1 0.000 0.500 0.000 [1 per cell]
Br1 0.000 0.000 0.500 [1 per cell]
Br2 0.500 0.500 0.500 [1 per cell]

Computed properties:
* theoretical density: 7.19 g cm⁻³
* total energy: -5.00 eV per atom
* crystal system: monoclinic
* formation energy without anion corrections: -1.3364 eV/atom

=====

(5)
A geometry-optimized La3Dy6Th2Sc structure. Source: Alexandria via LeMat-Bulk, functional PBE.

abc: 6.178 10.697 11.836
angles: 90.00 100.01 90.00
Space group C2/m (No. 12)
One atom of each set of equivalent atoms:
La1 0.000 0.000 0.000 [2 per cell]
La2 0.000 0.334 0.000 [4 per cell]
Dy1 0.247 0.000 0.742 [4 per cell]
Dy2 0.247 0.334 0.742 [8 per cell]
Th1 0.000 0.167 0.500 [4 per cell]
Sc1 0.000 0.500 0.500 [2 per cell]

Computed properties:
* theoretical density: 8.19 g cm⁻³
* DFT formation energy: 0.026 eV/atom
* total energy: -5.27 eV per atom
* crystal system: monoclinic

=====

(6)
A geometry-optimized SrSc2HPb structure. Source: Alexandria via LeMat-Bulk, functional PBE.

abc: 4.763 4.763 4.889
angles: 90.00 90.00 90.00
Space group P4/mmm (No. 123)
One atom of each set of equivalent atoms:
Sr1 0.000 0.000 0.000 [1 per cell]
Sc1 0.000 0.500 0.500 [2 per cell]
H1 0.000 0.000 0.500 [1 per cell]
Pb1 0.500 0.500 0.000 [1 per cell]

Computed properties:
* theoretical density: 5.78 g cm⁻³
* total energy: -4.48 eV per atom
* crystal system: tetragonal

=====

(7)
A geometry-optimized KBa2Bi2 structure. Source: Alexandria via LeMat-Bulk, functional PBE.

abc: 10.310 10.310 4.057
angles: 90.00 90.00 90.00
Space group P4/mbm (No. 127)
One atom of each set of equivalent atoms:
K1 0.000 0.000 0.000 [2 per cell]
Ba1 0.130 0.370 0.000 [4 per cell]
Bi1 0.168 0.668 0.500 [4 per cell]

Computed properties:
* theoretical density: 5.64 g cm⁻³
* DFT formation energy: -0.703 eV/atom
* total energy: -3.24 eV per atom
* excess energy over the best structure of this formula in the dataset: 25 meV per atom
* crystal system: tetragonal

=====

(8)
A geometry-optimized SmTiZnIr2 structure. Source: Alexandria via LeMat-Bulk, functional PBE.

abc: 4.046 4.046 11.565
angles: 90.00 90.00 90.00
Space group I-4m2 (No. 119)
One atom of each set of equivalent atoms:
Sm1 0.000 0.000 0.000 [2 per cell]
Ti1 0.000 0.500 0.750 [2 per cell]
Zn1 0.000 0.500 0.250 [2 per cell]
Ir1 0.000 0.000 0.388 [4 per cell]

Computed properties:
* theoretical density: 11.37 g cm⁻³
* DFT formation energy: -0.647 eV/atom
* total energy: -6.97 eV per atom
* crystal system: tetragonal